Record 1
SrHf2FeCu: relaxed, PBE.

The structure in POSCAR format:
```
SrHf2FeCu
1.0
5.174 0.000 0.000
0.000 4.590 0.000
0.000 0.000 5.174
Sr Hf Fe Cu
1 2 1 1
Direct
0.000 0.000 0.000
0.000 0.000 0.500
0.500 0.000 0.000
0.500 0.500 0.500
0.000 0.500 0.000
```

Formation energy: 2.501 eV/atom
Final energy: -4.3285 eV/atom
Space group: P4/mmm
Size of the total moment: 0.01 μB per formula unit
DOS(E_F): 5.211 states/eV per cell

=====

Record 2
Na2YI: relaxed, PBE.

The structure in POSCAR format:
```
Na2YI
1.0
-6.226 2.765 -6.599
5.919 -2.925 -6.810
-1.487 -2.928 -6.640
I Y Na
2 2 4
Direct
0.000 0.000 0.000
0.750 0.250 0.500
0.500 0.500 0.000
0.250 0.750 0.500
0.662 0.125 0.250
0.088 0.625 0.250
0.375 0.338 0.750
0.875 0.912 0.750
```

ΔE to the lowest computed polymorph: 0.000 eV/atom
Final energy: -2.7275 eV/atom
Formation energy (no corrections): -0.064 eV/atom
Space group: I-42d
Size of the total moment: 0.00 μB per formula unit
DOS(E_F): 3.131 states/eV per cell

=====

Record 3
Mg2TePd4Au: relaxed, PBE.

The structure in POSCAR format:
```
Mg2TePd4Au
1.0
4.585 0.000 0.000
2.293 3.971 0.000
2.293 1.324 7.539
Mg Te Pd Au
2 1 4 1
Direct
0.760 0.760 0.721
0.240 0.240 0.279
0.000 0.000 0.000
0.371 0.371 0.888
0.878 0.878 0.366
0.122 0.122 0.634
0.629 0.629 0.112
0.500 0.500 0.500
```

Final energy: -4.3149 eV/atom
Formation energy (no corrections): -0.517 eV/atom
Space group: R-3m
Size of the total moment: 0.00 μB per formula unit
DOS(E_F): 2.151 states/eV per cell

=====

Record 4
TbTiCu4: relaxed, PBE.

The structure in POSCAR format:
```
TbTiCu4
1.0
-3.239 -0.308 -3.911
-0.515 -4.379 -2.537
-4.280 -2.712 0.450
Tb Cu Ti
1 4 1
Direct
0.000 0.000 0.000
0.624 0.624 0.129
0.624 0.129 0.624
0.624 0.624 0.624
0.129 0.624 0.624
0.250 0.250 0.250
```

Formation energy: -0.036 eV/atom
Final energy: -4.8540 eV/atom
Space group: F-43m
Size of the total moment: 1.11 μB per formula unit
DOS(E_F): 7.572 states/eV per cell

=====

Record 5
RbCdTePPd: relaxed, PBE.

The structure in POSCAR format:
```
RbCdTePPd
1.0
4.508 0.000 0.000
-1.566 5.489 0.000
-2.243 -0.796 6.391
Rb Cd Te P Pd
1 1 1 1 1
Direct
0.434 0.344 0.367
0.136 0.968 0.806
0.722 0.824 0.072
0.729 0.400 0.920
0.191 0.459 0.820
```

ΔE to the lowest computed polymorph: 0.146 eV/atom
Final energy: -3.3852 eV/atom
Formation energy (no corrections): -0.260 eV/atom
Space group: P1
Size of the total moment: 0.00 μB per formula unit
DOS(E_F): 0.254 states/eV per cell

=====

Record 6
BaBeMo: relaxed, PBE.

The structure in POSCAR format:
```
BaBeMo
1.0
5.145 0.000 0.000
2.573 4.456 0.000
2.573 1.485 4.201
Be Mo Ba
1 1 1
Direct
0.000 0.000 0.000
0.500 0.500 0.500
0.750 0.750 0.750
```

Formation energy: 2.172 eV/atom
ΔE to the lowest computed polymorph: 1.378 eV/atom
Final energy: -3.3216 eV/atom
Space group: F-43m
Size of the total moment: 3.85 μB per formula unit
DOS(E_F): 3.641 states/eV per cell

=====

Record 7
EuLuGaAg: relaxed, PBE.

The structure in POSCAR format:
```
EuLuGaAg
1.0
5.162 0.000 0.000
2.581 4.470 0.000
2.581 1.490 4.215
Eu Lu Ga Ag
1 1 1 1
Direct
0.000 0.000 0.000
0.500 0.500 0.500
0.750 0.750 0.750
0.250 0.250 0.250
```

Formation energy: -0.374 eV/atom
Final energy: -5.5426 eV/atom
Space group: F-43m
Size of the total moment: 6.79 μB per formula unit
DOS(E_F): 7.920 states/eV per cell

=====

Record 8
PmAl2GaAu4: relaxed, PBE.

The structure in POSCAR format:
```
PmAl2GaAu4
1.0
-0.688 4.044 1.566
-0.871 0.585 4.263
8.656 2.425 3.697
Pm Al Ga Au
1 2 1 4
Direct
0.000 0.000 0.000
0.755 0.755 0.736
0.245 0.245 0.264
0.500 0.500 0.500
0.397 0.397 0.810
0.874 0.874 0.379
0.126 0.126 0.621
0.603 0.603 0.190
```

Formation energy: -0.493 eV/atom
Final energy: -4.0390 eV/atom
Space group: R-3m
Size of the total moment: 0.00 μB per formula unit
DOS(E_F): 2.806 states/eV per cell